# Cs4ZnAu4

Cs4ZnAu4 after structural relaxation (PBE-GGA, Alexandria via LeMat-Bulk).

## Properties
* E: -2.2429 eV/atom
* formation enthalpy at 0 K: -0.27 eV per atom

Cell lengths 7.402, 9.047, 7.402 Å; angles 65.86, 90.00, 114.14 degrees
Sites, in units of the cell vectors:
Cs 0.147 0.725 0.421
Cs 0.421 0.275 0.579
Cs 0.853 0.275 0.147
Cs 0.579 0.725 0.853
Au 0.901 0.216 0.685
Au 0.685 0.784 0.315
Au 0.099 0.784 0.901
Au 0.315 0.216 0.099
Zn 0.000 0.000 0.000